[1]
Material: Rb3NdU2Te6
Method: DFT, PBE
State: relaxed

Geometry as POSCAR:
```
Rb3NdU2Te6
1.0
-1.1598 -5.5914 -5.4961
0.4539 -2.0012 7.6554
-8.2754 3.5403 0.0490
Rb Te U Nd
3 6 2 1
Cartesian
-4.4907 -2.0262 1.1041
-5.0314 -3.2292 -3.3028
-3.9499 -0.8232 5.5111
-1.5798 -0.4734 2.7494
-6.7874 0.7620 0.6248
-6.8550 -2.3632 3.9126
-2.1939 -4.8143 1.5834
-7.4015 -3.5790 -0.5412
-2.1263 -1.6892 -1.7043
-0.6224 -4.3958 -1.1162
-0.0835 -3.1969 3.2755
0.0000 0.0000 0.0000
```

Values from the calculation:
For the formation energy (no corrections), the calculation gives -23.51 kcal/mol of atoms. The size of the total moment is 6.0 μB/f.u.

---

[2]
Material: Rb3NdU3Te8
Method: DFT, PBE
State: relaxed

Geometry as POSCAR:
```
Rb3NdU3Te8
1.0
-5.2455 6.6382 -3.0967
-1.1047 -3.0692 8.3983
8.2215 5.7211 -1.6620
Te Rb Nd U
8 3 1 3
Cartesian
0.9010 5.8714 4.6799
3.4548 2.6398 6.1874
1.3977 7.4460 0.4879
-1.5835 6.6504 -2.5478
-2.1213 5.1561 1.5405
0.4735 1.8442 3.1517
0.9702 3.4187 -1.0402
3.9926 4.1340 2.0991
-0.5524 -1.5346 4.1992
-3.1751 1.7845 2.6508
0.0000 0.0000 0.0000
4.1108 2.8606 -0.8310
3.5584 1.3260 3.3682
1.4880 6.1797 -2.3794
0.9356 4.6451 1.8198
```

Values from the calculation:
For the formation energy (no corrections), the calculation gives -22.04 kcal/mol of atoms. The size of the total moment is 8.0 μB/f.u.

---

[3]
Material: Rb4Nd3UTe8
Method: DFT, PBE
State: relaxed

Geometry as POSCAR:
```
Rb4Nd3UTe8
1.0
-1.0285 0.8956 -9.1640
1.3641 -9.9523 -1.1257
-6.7627 2.7394 5.7102
Te Rb Nd U
8 4 3 1
Cartesian
-4.0011 -0.7969 -4.3123
-2.4260 -5.5204 -0.2672
-0.5808 -2.1816 -7.1997
-3.4508 -1.2385 0.2663
-0.0607 -2.6344 -2.5660
-2.9763 -5.0788 -4.8458
-5.8463 -4.1357 2.6202
-6.3664 -3.6829 -2.0136
-3.3814 1.3697 2.8551
0.0000 0.0000 0.0000
-0.5143 0.4478 -4.5820
-3.8956 1.8175 -1.7269
-3.2136 -3.1587 -2.2898
-2.6993 -3.6065 2.2923
0.1678 -4.5284 -5.1449
0.6821 -4.9762 -0.5629
```

Values from the calculation:
For the formation energy (no corrections), the calculation gives -28.99 kcal/mol of atoms. The size of the total moment is 3.0 μB/f.u.

---

[4]
Material: Rb3Nd2UTe6
Method: DFT, PBE
State: relaxed

Geometry as POSCAR:
```
Rb3Nd2UTe6
1.0
8.0181 -0.0012 0.0004
-4.0081 6.9444 0.0004
-1.3369 -2.3148 8.5834
Te Nd Rb U
6 2 3 1
Cartesian
0.0301 4.6297 6.8290
2.6888 4.6556 1.7611
2.6430 -0.0014 1.7553
-1.3221 2.2885 1.7553
-0.0157 -0.0273 6.8233
3.9951 2.3398 6.8290
4.0062 2.3158 0.0004
0.0037 4.6273 0.0004
-2.6520 4.6177 4.2922
1.3365 2.3141 4.2922
5.3250 0.0106 4.2922
0.0000 0.0000 0.0000
```

Values from the calculation:
For the formation energy (no corrections), the calculation gives -27.90 kcal/mol of atoms. The size of the total moment is 3.0 μB/f.u.

---

> Which formula does entry 4 have?

Rb3Nd2UTe6

---

> Among the records above, which one has the lowest formation energy (no corrections)?

Rb4Nd3UTe8